Record 1
Computed, not measured: TaBe2Tc2 after structural relaxation at the PBE-GGA level of DFT.

Computed properties:
The calculation puts the formation energy at -374 meV/atom. The spin magnetization comes out at 0.00 μB/f.u. The calculation puts the energy at -8.381 eV per atom.

abc: 6.289 6.289 3.142
angles: 90.00 90.00 90.00
Fractional positions:
Be  0.384  0.884  0.000
Be  0.884  0.616  0.000
Be  0.616  0.116  0.000
Be  0.116  0.384  0.000
Tc  0.177  0.677  0.500
Tc  0.677  0.823  0.500
Tc  0.823  0.323  0.500
Tc  0.323  0.177  0.500
Ta  0.000  0.000  0.000
Ta  0.500  0.500  0.000

---

Record 2
Computed, not measured: PrAl4OsPd2 after structural relaxation at the PBE-GGA level of DFT.

Computed properties:
The calculation puts the formation energy at -668 meV/atom. The spin magnetization comes out at 0.00 μB/f.u. The calculation puts the energy at -5.838 eV per atom.

abc: 4.262 4.262 9.427
angles: 76.93 76.93 60.00
Fractional positions:
Pr  0.000  0.000  0.000
Al  0.406  0.406  0.781
Al  0.864  0.864  0.408
Al  0.136  0.136  0.592
Al  0.594  0.594  0.219
Os  0.500  0.500  0.500
Pd  0.766  0.766  0.701
Pd  0.234  0.234  0.299

---

Record 3
Computed, not measured: MgV after structural relaxation at the PBE-GGA level of DFT.

Computed properties:
The calculation puts the formation energy at 381 meV/atom. The spin magnetization comes out at 0.00 μB/f.u. The calculation puts the energy at -4.976 eV per atom.

abc: 9.743 9.743 3.094
angles: 90.00 90.00 90.00
Fractional positions:
Mg  0.827  0.827  0.500
Mg  0.827  0.173  0.500
Mg  0.173  0.827  0.500
Mg  0.173  0.173  0.500
Mg  0.640  0.000  0.000
Mg  0.360  0.000  0.000
Mg  0.000  0.360  0.000
Mg  0.000  0.640  0.000
V  0.782  0.500  0.500
V  0.218  0.500  0.500
V  0.500  0.218  0.500
V  0.500  0.782  0.500
V  0.635  0.635  0.000
V  0.635  0.365  0.000
V  0.365  0.635  0.000
V  0.365  0.365  0.000

---

Record 4
Computed, not measured: PmNd3Os after structural relaxation at the PBE-GGA level of DFT.

Computed properties:
The calculation puts the formation energy at -77 meV/atom. The offset from the most stable computed form is 0.00 eV/f.u. The spin magnetization comes out at 0.00 μB/f.u. The calculation puts the energy at -6.134 eV per atom.

abc: 7.516 7.516 7.527
angles: 108.47 111.84 108.07
Fractional positions:
Pm  0.701  0.052  0.754
Pm  0.299  0.948  0.246
Nd  0.850  0.052  0.296
Nd  0.244  0.446  0.296
Nd  0.756  0.554  0.704
Nd  0.704  0.448  0.151
Nd  0.150  0.948  0.704
Nd  0.296  0.552  0.849
Os  0.621  0.751  0.372
Os  0.379  0.249  0.628

---

Record 5
Computed, not measured: Ce6SmIn2 after structural relaxation at the PBE-GGA level of DFT.

Computed properties:
The calculation puts the formation energy at -4 meV/atom. The spin magnetization comes out at 3.36 μB/f.u. The calculation puts the energy at -5.093 eV per atom.

abc: 5.699 6.188 8.296
angles: 111.90 110.06 90.00
Fractional positions:
Ce  0.606  0.882  0.212
Ce  0.761  0.761  0.521
Ce  0.606  0.331  0.212
Ce  0.394  0.118  0.788
Ce  0.239  0.239  0.479
Ce  0.394  0.669  0.788
Sm  0.000  0.000  0.000
In  0.137  0.637  0.274
In  0.863  0.363  0.726

---

Record 6
Computed, not measured: Mg2Al2Au after structural relaxation at the PBE-GGA level of DFT.

Computed properties:
The calculation puts the formation energy at -205 meV/atom. The spin magnetization comes out at 0.00 μB/f.u. The calculation puts the energy at -2.996 eV per atom.

abc: 6.684 6.684 4.373
angles: 90.00 90.00 90.00
Fractional positions:
Mg  0.166  0.666  0.500
Mg  0.666  0.834  0.500
Mg  0.834  0.334  0.500
Mg  0.334  0.166  0.500
Au  0.000  0.000  0.000
Au  0.500  0.500  0.000
Al  0.362  0.862  0.000
Al  0.862  0.638  0.000
Al  0.638  0.138  0.000
Al  0.138  0.362  0.000

---

Q: Among the records above, which one has the highest energy?
A: Mg2Al2Au

---

Q: Which of these has the lowest energy?
A: TaBe2Tc2